8
Lattice="-2.700 2.785 1.954 -0.883 -2.983 3.031 5.145 3.040 7.605" Properties=species:S:1:pos:R:3 comment="Sc2SiAu | Alexandria via LeMat-Bulk | PBE | optimized geometry" raw_formation_energy_kj_per_mol_atoms=-3.00 space_group="I-42d (122)" total_magnetization_mub_per_cell=0.00 pbc="T T T"
Sc -0.468 2.083 3.470
Sc 0.353 -0.712 4.071
Sc 2.501 2.157 7.622
Sc 0.737 2.154 10.017
Si -1.792 -0.099 2.492
Si 1.235 -0.021 6.564
Au 0.000 0.000 0.000
Au 0.326 2.863 6.026